Compound: PmNdNi2
Source: Alexandria
Functional: PBE
Structure: relaxed

Cell and atoms, written as CIF:
```
data_PmNdNi2
_chemical_formula_sum 'Pm1 Nd1 Ni2'
_symmetry_space_group_name_H-M 'P 1'
_symmetry_Int_Tables_number 1
_cell_length_a 4.944
_cell_length_b 4.944
_cell_length_c 3.451
_cell_angle_alpha 90.00
_cell_angle_beta 90.00
_cell_angle_gamma 90.00
loop_
_symmetry_equiv_pos_as_xyz
'x,y,z'
loop_
_atom_site_label
_atom_site_type_symbol
_atom_site_fract_x
_atom_site_fract_y
_atom_site_fract_z
Pm1 Pm 0.000 0.000 0.000
Nd1 Nd 0.500 0.500 0.000
Ni1 Ni 0.000 0.500 0.500
Ni2 Ni 0.500 0.000 0.500
```

Calculated values
* calculated volume: 21.09 A^3/atom
* magnetization: 0.0 μB per formula unit
* SG: No. 123
* DOS at the Fermi energy: 0.81 states/eV per atom
* E: -0.4051 Ry/atom

=====

Compound: Pm12NdNi6
Source: Alexandria
Functional: PBE
Structure: relaxed

Cell and atoms, written as CIF:
```
data_Pm12NdNi6
_chemical_formula_sum 'Pm12 Nd1 Ni6'
_symmetry_space_group_name_H-M 'P 1'
_symmetry_Int_Tables_number 1
_cell_length_a 8.465
_cell_length_b 8.465
_cell_length_c 8.465
_cell_angle_alpha 105.82
_cell_angle_beta 105.82
_cell_angle_gamma 105.82
loop_
_symmetry_equiv_pos_as_xyz
'x,y,z'
loop_
_atom_site_label
_atom_site_type_symbol
_atom_site_fract_x
_atom_site_fract_y
_atom_site_fract_z
Pm1 Pm 0.000 0.379 0.621
Pm2 Pm 0.000 0.621 0.379
Pm3 Pm 0.062 0.062 0.322
Pm4 Pm 0.062 0.322 0.062
Pm5 Pm 0.322 0.062 0.062
Pm6 Pm 0.379 0.000 0.621
Pm7 Pm 0.379 0.621 0.000
Pm8 Pm 0.621 0.000 0.379
Pm9 Pm 0.621 0.379 0.000
Pm10 Pm 0.678 0.938 0.938
Pm11 Pm 0.938 0.678 0.938
Pm12 Pm 0.938 0.938 0.678
Nd1 Nd 0.500 0.500 0.500
Ni1 Ni 0.201 0.756 0.756
Ni2 Ni 0.244 0.244 0.799
Ni3 Ni 0.244 0.799 0.244
Ni4 Ni 0.756 0.201 0.756
Ni5 Ni 0.756 0.756 0.201
Ni6 Ni 0.799 0.244 0.244
```

Calculated values
* calculated volume: 27.39 A^3/atom
* magnetization: 0.0 μB per formula unit
* SG: No. 166
* DOS at the Fermi energy: 1.61 states/eV per atom
* E: -0.3760 Ry/atom

=====

Compound: Pm3NdNi
Source: Alexandria
Functional: PBE
Structure: relaxed

Cell and atoms, written as CIF:
```
data_Pm3NdNi
_chemical_formula_sum 'Pm3 Nd1 Ni1'
_symmetry_space_group_name_H-M 'P 1'
_symmetry_Int_Tables_number 1
_cell_length_a 5.468
_cell_length_b 5.468
_cell_length_c 5.468
_cell_angle_alpha 90.00
_cell_angle_beta 90.00
_cell_angle_gamma 90.00
loop_
_symmetry_equiv_pos_as_xyz
'x,y,z'
loop_
_atom_site_label
_atom_site_type_symbol
_atom_site_fract_x
_atom_site_fract_y
_atom_site_fract_z
Pm1 Pm 0.000 0.000 0.500
Pm2 Pm 0.000 0.500 0.000
Pm3 Pm 0.500 0.000 0.000
Nd1 Nd 0.500 0.500 0.500
Ni1 Ni 0.000 0.000 0.000
```

Calculated values
* calculated volume: 32.70 A^3/atom
* magnetization: 0.0 μB per formula unit
* SG: No. 221
* DOS at the Fermi energy: 2.28 states/eV per atom
* E: -0.3641 Ry/atom

=====

Compound: PmNd4Ni
Source: Alexandria
Functional: PBE
Structure: relaxed

Cell and atoms, written as CIF:
```
data_PmNd4Ni
_chemical_formula_sum 'Pm2 Nd8 Ni2'
_symmetry_space_group_name_H-M 'P 1'
_symmetry_Int_Tables_number 1
_cell_length_a 9.673
_cell_length_b 9.673
_cell_length_c 6.096
_cell_angle_alpha 108.36
_cell_angle_beta 108.36
_cell_angle_gamma 45.13
loop_
_symmetry_equiv_pos_as_xyz
'x,y,z'
loop_
_atom_site_label
_atom_site_type_symbol
_atom_site_fract_x
_atom_site_fract_y
_atom_site_fract_z
Pm1 Pm 0.197 0.197 0.198
Pm2 Pm 0.803 0.803 0.802
Nd1 Nd 0.133 0.633 0.382
Nd2 Nd 0.232 0.768 0.000
Nd3 Nd 0.322 0.322 0.823
Nd4 Nd 0.367 0.867 0.618
Nd5 Nd 0.633 0.133 0.382
Nd6 Nd 0.678 0.678 0.177
Nd7 Nd 0.768 0.232 0.000
Nd8 Nd 0.867 0.367 0.618
Ni1 Ni 0.500 0.500 0.304
Ni2 Ni 0.500 0.500 0.696
```

Calculated values
* calculated volume: 31.67 A^3/atom
* magnetization: 0.0 μB per formula unit
* SG: No. 12
* DOS at the Fermi energy: 1.44 states/eV per atom
* E: -0.3659 Ry/atom